{"formula": "TcRu2Se", "functional": "GGA-PBE", "state": "relaxed", "formation_energy_uncorrected_ev_per_atom": 0.199, "final_energy_ev_per_atom": -7.902, "lattice_angstrom": [[-2.524, -1.406, -0.050], [1.358, -2.408, -0.840], [0.891, -1.839, 6.717]], "species": ["Ru", "Ru", "Se", "Tc"], "fractional_positions": [[0.000, 0.000, 0.003], [0.000, 0.000, 0.497], [0.500, 0.500, 0.250], [0.500, 0.500, 0.750]]}

***

{"formula": "LaCe2PmHg4", "functional": "GGA-PBE", "state": "relaxed", "delta_e_f_ev_per_atom": -0.38, "final_energy_ev_per_atom": -3.224, "lattice_angstrom": [[-0.038, 3.567, -4.105], [1.018, -1.680, -5.071], [-8.360, -0.891, -4.299]], "species": ["La", "Ce", "Ce", "Pm", "Hg", "Hg", "Hg", "Hg"], "fractional_positions": [[0.000, 0.000, 0.000], [0.750, 0.750, 0.750], [0.250, 0.250, 0.250], [0.500, 0.500, 0.500], [0.377, 0.377, 0.870], [0.874, 0.874, 0.379], [0.126, 0.126, 0.621], [0.623, 0.623, 0.130]]}

***

{"formula": "LaSc3N", "functional": "GGA-PBE", "state": "relaxed", "de_polymorph_ev_per_fu": 12.15, "formation_energy_uncorrected_ev_per_atom": 1.967, "final_energy_ev_per_atom": -4.482, "lattice_angstrom": [[-1.105, 3.913, 3.085], [-4.009, -2.575, 1.830], [2.960, -2.027, 3.631]], "species": ["Sc", "Sc", "Sc", "N", "La"], "fractional_positions": [[0.000, 0.500, 0.000], [0.000, 0.000, 0.500], [0.500, 0.000, 0.000], [0.500, 0.500, 0.500], [0.000, 0.000, 0.000]]}

***

{"formula": "LiSc2Ni", "functional": "GGA-PBE", "state": "relaxed", "delta_e_f_ev_per_atom": 0.01, "final_energy_ev_per_atom": -5.083, "lattice_angstrom": [[-4.816, -2.376, 1.180], [-0.897, -5.278, -1.254], [3.821, 3.084, 2.475]], "species": ["Li", "Ni", "Sc", "Sc"], "fractional_positions": [[0.500, 0.500, 0.000], [0.750, 0.250, 0.500], [0.000, 0.000, 0.000], [0.250, 0.750, 0.500]]}